Run A
# PBE SmScRe, relaxed
data_SmScRe
_chemical_formula_sum 'Sm1 Sc1 Re1'
_cell_length_a 4.673
_cell_length_b 4.673
_cell_length_c 4.673
_cell_angle_alpha 60.00
_cell_angle_beta 60.00
_cell_angle_gamma 60.00
_symmetry_space_group_name_H-M 'P 1'
_symmetry_Int_Tables_number 1
_symmetry_space_group_name_Hall 'P 1'
loop_
_atom_site_label
_atom_site_fract_x
_atom_site_fract_y
_atom_site_fract_z
Re1 0.250 0.250 0.250
Sc1 0.750 0.750 0.750
Sm1 0.000 0.000 0.000
# * symmetry: F-43m (216)
# * magnetic moment: 0.053 μB per atom

***

Run B
# PBE SmScRe, relaxed
data_SmScRe
_chemical_formula_sum 'Sm1 Sc1 Re1'
_cell_length_a 4.646
_cell_length_b 4.646
_cell_length_c 4.646
_cell_angle_alpha 60.00
_cell_angle_beta 60.00
_cell_angle_gamma 60.00
_symmetry_space_group_name_H-M 'P 1'
_symmetry_Int_Tables_number 1
_symmetry_space_group_name_Hall 'P 1'
loop_
_atom_site_label
_atom_site_fract_x
_atom_site_fract_y
_atom_site_fract_z
Re1 0.250 0.250 0.250
Sc1 0.000 0.000 0.000
Sm1 0.750 0.750 0.750
# * symmetry: F-43m (216)
# * magnetic moment: 0.000 μB per atom

***

Relative energies, in eV/atom, with the most stable structure set to zero: run A 0.276; run B 0.000.

***

Run A
# PBE ScReTc2, relaxed
data_ScReTc2
_chemical_formula_sum 'Sc1 Re1 Tc2'
_cell_length_a 4.449
_cell_length_b 4.449
_cell_length_c 3.118
_cell_angle_alpha 90.00
_cell_angle_beta 90.00
_cell_angle_gamma 90.00
_symmetry_space_group_name_H-M 'P 1'
_symmetry_Int_Tables_number 1
_symmetry_space_group_name_Hall 'P 1'
loop_
_atom_site_label
_atom_site_fract_x
_atom_site_fract_y
_atom_site_fract_z
Re1 0.000 0.000 0.000
Sc1 0.500 0.500 0.000
Tc1 0.500 0.000 0.500
Tc2 0.000 0.500 0.500
# * symmetry: P4/mmm (123)
# * magnetic moment: 0.000 μB per atom

***

Run B
# PBE ScReTc2, relaxed
data_ScReTc2
_chemical_formula_sum 'Sc6 Re6 Tc12'
_cell_length_a 4.429
_cell_length_b 6.263
_cell_length_c 13.294
_cell_angle_alpha 90.00
_cell_angle_beta 90.00
_cell_angle_gamma 90.00
_symmetry_space_group_name_H-M 'P 1'
_symmetry_Int_Tables_number 1
_symmetry_space_group_name_Hall 'P 1'
loop_
_atom_site_label
_atom_site_fract_x
_atom_site_fract_y
_atom_site_fract_z
Re1 0.000 0.000 0.000
Re2 0.500 0.500 0.167
Re3 0.000 0.000 0.333
Re4 0.500 0.500 0.500
Re5 0.000 0.000 0.667
Re6 0.500 0.500 0.833
Sc1 0.000 0.500 0.000
Sc2 0.500 0.000 0.167
Sc3 0.000 0.500 0.333
Sc4 0.500 0.000 0.500
Sc5 0.000 0.500 0.667
Sc6 0.500 0.000 0.833
Tc1 0.500 0.250 0.000
Tc2 0.500 0.750 0.000
Tc3 0.000 0.250 0.167
Tc4 0.000 0.750 0.167
Tc5 0.500 0.250 0.333
Tc6 0.500 0.750 0.333
Tc7 0.000 0.250 0.500
Tc8 0.000 0.750 0.500
Tc9 0.500 0.250 0.667
Tc10 0.500 0.750 0.667
Tc11 0.000 0.250 0.833
Tc12 0.000 0.750 0.833
# * symmetry: Fm-3m (225)
# * magnetic moment: 0.001 μB per atom

***

Run C
# PBE ScReTc2, relaxed
data_ScReTc2
_chemical_formula_sum 'Sc4 Re4 Tc8'
_cell_length_a 5.412
_cell_length_b 4.572
_cell_length_c 10.274
_cell_angle_alpha 90.00
_cell_angle_beta 90.00
_cell_angle_gamma 90.00
_symmetry_space_group_name_H-M 'P 1'
_symmetry_Int_Tables_number 1
_symmetry_space_group_name_Hall 'P 1'
loop_
_atom_site_label
_atom_site_fract_x
_atom_site_fract_y
_atom_site_fract_z
Re1 0.340 0.250 0.073
Re2 0.840 0.750 0.427
Re3 0.160 0.250 0.573
Re4 0.660 0.750 0.927
Sc1 0.837 0.250 0.066
Sc2 0.337 0.750 0.434
Sc3 0.663 0.250 0.566
Sc4 0.163 0.750 0.934
Tc1 0.532 0.750 0.173
Tc2 0.996 0.750 0.188
Tc3 0.496 0.250 0.312
Tc4 0.032 0.250 0.327
Tc5 0.968 0.750 0.673
Tc6 0.504 0.750 0.688
Tc7 0.004 0.250 0.812
Tc8 0.468 0.250 0.827
# * symmetry: Pnma (62)
# * magnetic moment: 0.000 μB per atom

***

Relative energies, in eV/atom, with the most stable structure set to zero: run A 0.068; run B 0.000; run C 0.235.

***

Run A
# PBE ScURe, relaxed
data_ScURe
_chemical_formula_sum 'Sc1 U1 Re1'
_cell_length_a 4.511
_cell_length_b 4.511
_cell_length_c 4.511
_cell_angle_alpha 60.00
_cell_angle_beta 60.00
_cell_angle_gamma 60.00
_symmetry_space_group_name_H-M 'P 1'
_symmetry_Int_Tables_number 1
_symmetry_space_group_name_Hall 'P 1'
loop_
_atom_site_label
_atom_site_fract_x
_atom_site_fract_y
_atom_site_fract_z
Re1 0.250 0.250 0.250
Sc1 0.750 0.750 0.750
U1 0.000 0.000 0.000
# * symmetry: F-43m (216)
# * magnetic moment: 0.504 μB per atom

***

Run B
# PBE ScURe, relaxed
data_ScURe
_chemical_formula_sum 'Sc1 U1 Re1'
_cell_length_a 4.597
_cell_length_b 4.597
_cell_length_c 4.597
_cell_angle_alpha 60.00
_cell_angle_beta 60.00
_cell_angle_gamma 60.00
_symmetry_space_group_name_H-M 'P 1'
_symmetry_Int_Tables_number 1
_symmetry_space_group_name_Hall 'P 1'
loop_
_atom_site_label
_atom_site_fract_x
_atom_site_fract_y
_atom_site_fract_z
Re1 0.000 0.000 0.000
Sc1 0.750 0.750 0.750
U1 0.250 0.250 0.250
# * symmetry: F-43m (216)
# * magnetic moment: 0.613 μB per atom

***

Relative energies, in eV/atom, with the most stable structure set to zero: run A 0.646; run B 0.000.

***

Run A
# PBE ReSe, relaxed
data_ReSe
_chemical_formula_sum 'Re1 Se1'
_cell_length_a 3.088
_cell_length_b 3.088
_cell_length_c 3.865
_cell_angle_alpha 90.00
_cell_angle_beta 90.00
_cell_angle_gamma 120.00
_symmetry_space_group_name_H-M 'P 1'
_symmetry_Int_Tables_number 1
_symmetry_space_group_name_Hall 'P 1'
loop_
_atom_site_label
_atom_site_fract_x
_atom_site_fract_y
_atom_site_fract_z
Re1 0.667 0.333 0.750
Se1 0.333 0.667 0.250
# * symmetry: P-6m2 (187)
# * magnetic moment: 0.002 μB per atom

***

Run B
# PBE ReSe, relaxed
data_ReSe
_chemical_formula_sum 'Re1 Se1'
_cell_length_a 3.919
_cell_length_b 3.919
_cell_length_c 3.919
_cell_angle_alpha 60.00
_cell_angle_beta 60.00
_cell_angle_gamma 60.00
_symmetry_space_group_name_H-M 'P 1'
_symmetry_Int_Tables_number 1
_symmetry_space_group_name_Hall 'P 1'
loop_
_atom_site_label
_atom_site_fract_x
_atom_site_fract_y
_atom_site_fract_z
Re1 0.000 0.000 0.000
Se1 0.250 0.250 0.250
# * symmetry: F-43m (216)
# * magnetic moment: 0.006 μB per atom

***

Relative energies, in eV/atom, with the most stable structure set to zero: run A 0.000; run B 0.079.

***

Run A
# PBE ReTe3Se2, relaxed
data_ReTe3Se2
_chemical_formula_sum 'Re2 Te6 Se4'
_cell_length_a 7.001
_cell_length_b 7.554
_cell_length_c 7.947
_cell_angle_alpha 98.89
_cell_angle_beta 114.01
_cell_angle_gamma 105.12
_symmetry_space_group_name_H-M 'P 1'
_symmetry_Int_Tables_number 1
_symmetry_space_group_name_Hall 'P 1'
loop_
_atom_site_label
_atom_site_fract_x
_atom_site_fract_y
_atom_site_fract_z
Re1 0.731 0.497 0.023
Re2 0.269 0.503 0.977
Se1 0.999 0.328 0.102
Se2 0.443 0.715 0.323
Se3 0.557 0.285 0.677
Se4 0.001 0.672 0.898
Te1 0.425 0.218 0.057
Te2 0.078 0.844 0.265
Te3 0.776 0.535 0.389
Te4 0.224 0.465 0.611
Te5 0.922 0.156 0.735
Te6 0.575 0.782 0.943
# * symmetry: P-1 (2)
# * magnetic moment: 0.001 μB per atom

***

Run B
# PBE ReTe3Se2, relaxed
data_ReTe3Se2
_chemical_formula_sum 'Re2 Te6 Se4'
_cell_length_a 6.831
_cell_length_b 7.092
_cell_length_c 8.174
_cell_angle_alpha 115.52
_cell_angle_beta 90.46
_cell_angle_gamma 106.54
_symmetry_space_group_name_H-M 'P 1'
_symmetry_Int_Tables_number 1
_symmetry_space_group_name_Hall 'P 1'
loop_
_atom_site_label
_atom_site_fract_x
_atom_site_fract_y
_atom_site_fract_z
Re1 0.502 0.207 0.498
Re2 0.498 0.793 0.502
Se1 0.723 0.979 0.347
Se2 0.701 0.507 0.399
Se3 0.299 0.493 0.601
Se4 0.277 0.021 0.653
Te1 0.511 0.273 0.025
Te2 0.235 0.003 0.180
Te3 0.216 0.536 0.201
Te4 0.784 0.464 0.799
Te5 0.765 0.997 0.820
Te6 0.489 0.727 0.975
# * symmetry: P-1 (2)
# * magnetic moment: 0.000 μB per atom

***

Relative energies, in eV/atom, with the most stable structure set to zero: run A 0.041; run B 0.000.